No. 1
# CrRu2W

CrRu2W after structural relaxation (PBE, Alexandria via LeMat-Bulk).

Summary:
Density   12.93 g cm⁻³
Magnetization   0.006 μB/f.u.
VASP energy   -81.3 eV per cell
Calculated volume   112.5 Å³ per cell

Cell: 3.7874 3.7874 7.8427 Å, 90.00 90.00 90.00°
Last column: nearest neighbours and their distance in Å.
Space group I-4m2 (No. 119)
Inequivalent atoms, fractional coordinates:
Cr (0.0000, 0.0000, 0.0000)  8 Ru 2.68-2.73, 4 W 2.73
Ru (0.0000, 0.0000, 0.5000)  4 Cr 2.68, 4 W 2.73, 4 Ru 2.73
Ru (0.0000, 0.5000, 0.7500)  4 W 2.68, 4 Cr 2.73, 4 Ru 2.73
W (0.0000, 0.5000, 0.2500)  8 Ru 2.68-2.73, 4 Cr 2.73


No. 2
# InPtF2

InPtF2 after structural relaxation (PBE, Alexandria via LeMat-Bulk).

Summary:
Density   9.99 g cm⁻³
Magnetization   0.000 μB/f.u.
Raw formation energy   -2.628 eV/f.u.
VASP energy   -60.6 eV per cell
Calculated volume   231.4 Å³ per cell

Cell: 6.1393 6.1393 6.1393 Å, 90.00 90.00 90.00°
Last column: nearest neighbours and their distance in Å.
Space group Fm-3m (No. 225)
Inequivalent atoms, fractional coordinates:
In (0.0000, 0.0000, 0.0000)  8 F 2.66
Pt (0.0000, 0.0000, 0.5000)  8 F 2.66
F (0.2500, 0.2500, 0.2500)  4 In 2.66, 4 Pt 2.66


No. 3
# LaZnIn2N

LaZnIn2N after structural relaxation (PBE, Alexandria via LeMat-Bulk).

Summary:
Density   4.14 g cm⁻³
Magnetization   0.000 μB/f.u.
Raw formation energy   2.917 eV/f.u.
VASP energy   -17.1 eV per cell
Calculated volume   179.9 Å³ per cell

Cell: 6.5612 6.5612 4.1778 Å, 90.00 90.00 90.00°
Last column: nearest neighbours and their distance in Å.
Space group P4/mmm (No. 123)
Inequivalent atoms, fractional coordinates:
La (0.0000, 0.0000, 0.0000)  2 N 2.09
Zn (0.5000, 0.5000, 0.5000)  8 In 3.89, 2 Zn 4.18
In (0.0000, 0.5000, 0.0000)  2 La 3.28
N (0.0000, 0.0000, 0.5000)  2 La 2.09


No. 4
# Pm2PrZn2Ga2

Pm2PrZn2Ga2 after structural relaxation (PBE, Alexandria via LeMat-Bulk).

Summary:
Density   6.90 g cm⁻³
Magnetization   0.000 μB/f.u.
VASP energy   -77.1 eV per cell
Calculated volume   506.3 Å³ per cell

Cell: 4.5128 4.5128 28.7072 Å, 90.00 90.00 120.00°
Last column: nearest neighbours and their distance in Å.
Space group R-3m (No. 166, hexagonal axes)
Inequivalent atoms, fractional coordinates:
Pm (0.0000, 0.0000, 0.1278)  3 Ga 3.07, 3 Zn 3.11, 3 Pm 3.43
Pr (0.0000, 0.0000, 0.0000)  6 Zn 3.27, 6 Ga 3.31
Zn (0.0000, 0.0000, 0.4021)  3 Ga 2.61
Ga (0.0000, 0.0000, 0.2622)  3 Zn 2.61


No. 5
# InSe3O9

InSe3O9 after structural relaxation (PBE, Alexandria via LeMat-Bulk).

Summary:
Density   3.66 g cm⁻³
Magnetization   0.991 μB/f.u.
Raw formation energy   -9.230 eV/f.u.
VASP energy   -268.2 eV per cell
Calculated volume   900.2 Å³ per cell

Cell: 13.7103 8.1293 10.1249 Å, 90.00 127.09 90.00°
Last column: nearest neighbours and their distance in Å.
Space group Cc (No. 9)
Inequivalent atoms, fractional coordinates:
In (0.0000, 0.2491, 0.0000)  6 O 2.15-2.26
Se (0.1300, 0.3893, 0.7938)  3 O 1.70-1.76
Se (0.2489, 0.0100, 0.7517)  4 O 1.63-1.70
Se (0.3424, 0.4400, 0.6419)  2 O 1.67-1.69
O (0.0401, 0.3992, 0.8566)  1 Se 1.70
O (0.1213, 0.4217, 0.2143)  1 Se 1.70
O (0.1465, 0.1033, 0.7704)  1 Se 1.70
O (0.1677, 0.1230, 0.0919)  1 Se 1.69
O (0.2828, 0.3864, 0.9729)  1 Se 1.76
O (0.3238, 0.1419, 0.7217)  1 Se 1.63
O (0.3442, 0.1021, 0.4261)  1 Se 1.70
O (0.3977, 0.4374, 0.3051)  1 Se 1.67
O (0.4663, 0.3807, 0.6564)  1 Se 1.69


No. 6
# HOsS2

HOsS2 after structural relaxation (PBE, Alexandria via LeMat-Bulk).

Summary:
Density   6.73 g cm⁻³
Magnetization   0.000 μB/f.u.
VASP energy   -68.9 eV per cell
Calculated volume   188.9 Å³ per cell

Cell: 3.6411 3.6411 16.4516 Å, 90.00 90.00 120.00°
Last column: nearest neighbours and their distance in Å.
Space group R-3m (No. 166, hexagonal axes)
Inequivalent atoms, fractional coordinates:
H (0.0000, 0.0000, 0.0000)  2 S 1.63
Os (0.0000, 0.0000, 0.5000)  6 S 2.38
S (0.0000, 0.0000, 0.0991)  1 H 1.63


No. 7
# K3Pu2BiSe6

K3Pu2BiSe6 after structural relaxation (PBE, Alexandria via LeMat-Bulk).

Summary:
Density   5.81 g cm⁻³
Magnetization   10.000 μB/f.u.
Raw formation energy   -14.922 eV/f.u.
VASP energy   -143.3 eV per cell
Calculated volume   736.7 Å³ per cell

Cell: 7.4484 12.8986 8.0588 Å, 90.00 107.92 90.00°
Last column: nearest neighbours and their distance in Å.
Space group C2/m (No. 12)
Inequivalent atoms, fractional coordinates:
K (0.0000, 0.0000, 0.0000)  6 Se 3.31-3.36
K (0.0000, 0.3361, 0.0000)  6 Se 3.33-3.36
Pu (0.0000, 0.1669, 0.5000)  6 Se 2.93
Bi (0.0000, 0.5000, 0.5000)  6 Se 2.99
Se (0.2287, 0.0000, 0.7072)  2 Pu 2.93, 1 Bi 2.99
Se (0.2394, 0.3299, 0.7079)  2 Pu 2.93, 1 Bi 2.99


No. 8
# YW4S8

YW4S8 after structural relaxation (PBE, Alexandria via LeMat-Bulk).

Summary:
Density   6.99 g cm⁻³
Magnetization   0.000 μB/f.u.
Raw formation energy   -8.180 eV/f.u.
VASP energy   -298.4 eV per cell
Calculated volume   770.2 Å³ per cell

Cell: 6.5803 6.5803 20.5377 Å, 90.00 90.00 120.00°
Last column: nearest neighbours and their distance in Å.
Space group R-3m (No. 166, hexagonal axes)
Inequivalent atoms, fractional coordinates:
Y (0.0000, 0.0000, 0.0000)  6 S 2.69
W (0.0000, 0.0000, 0.5000)  6 S 2.43
W (0.0000, 0.5000, 0.5000)  6 S 2.45-2.48
S (0.0000, 0.0000, 0.2418)  3 W 2.45
S (0.0075, 0.5037, 0.2430)  3 W 2.43-2.48, 1 Y 2.69


No. 9
# KTaCr2Br

KTaCr2Br after structural relaxation (PBE, Alexandria via LeMat-Bulk).

Summary:
Density   6.36 g cm⁻³
Magnetization   1.360 μB/f.u.
Raw formation energy   10.073 eV/f.u.
VASP energy   -23.8 eV per cell
Calculated volume   105.4 Å³ per cell

Cell: 4.4853 4.4853 5.2401 Å, 90.00 90.00 90.00°
Last column: nearest neighbours and their distance in Å.
Space group P4/mmm (No. 123)
Inequivalent atoms, fractional coordinates:
K (0.0000, 0.0000, 0.0000)  2 Br 2.62
Ta (0.5000, 0.5000, 0.0000)  4 K 3.17, 8 Cr 3.45
Cr (0.0000, 0.5000, 0.5000)  2 Br 2.24
Br (0.0000, 0.0000, 0.5000)  4 Cr 2.24


No. 10
# ErNiAgPt

ErNiAgPt after structural relaxation (PBE, Alexandria via LeMat-Bulk).

Summary:
Density   12.48 g cm⁻³
Magnetization   0.000 μB/f.u.
VASP energy   -84.2 eV per cell
Calculated volume   281.6 Å³ per cell

Cell: 6.5543 6.5543 6.5543 Å, 90.00 90.00 90.00°
Last column: nearest neighbours and their distance in Å.
Space group F-43m (No. 216)
Inequivalent atoms, fractional coordinates:
Er (0.0000, 0.0000, 0.0000)  4 Pt 2.84, 4 Ni 2.84
Ni (0.2500, 0.2500, 0.7500)  4 Er 2.84, 4 Ag 2.84
Ag (0.0000, 0.0000, 0.5000)  4 Ni 2.84, 4 Pt 2.84
Pt (0.2500, 0.2500, 0.2500)  4 Er 2.84, 4 Ag 2.84


No. 11
# CaPmGaBi

CaPmGaBi after structural relaxation (PBE, Alexandria via LeMat-Bulk).

Summary:
Density   6.78 g cm⁻³
Magnetization   0.000 μB/f.u.
VASP energy   -62.6 eV per cell
Calculated volume   454.2 Å³ per cell

Cell: 7.6871 7.6871 7.6871 Å, 90.00 90.00 90.00°
Last column: nearest neighbours and their distance in Å.
Space group F-43m (No. 216)
Inequivalent atoms, fractional coordinates:
Ca (0.0000, 0.0000, 0.0000)  4 Ga 3.33, 4 Bi 3.33
Pm (0.0000, 0.0000, 0.5000)  4 Bi 3.33, 4 Ga 3.33
Ga (0.2500, 0.2500, 0.2500)  4 Ca 3.33, 4 Pm 3.33
Bi (0.2500, 0.2500, 0.7500)  4 Ca 3.33, 4 Pm 3.33


No. 12
# Cu4Au3

Cu4Au3 after structural relaxation (PBE, Alexandria via LeMat-Bulk).

Summary:
Density   13.66 g cm⁻³
Magnetization   0.000 μB/f.u.
VASP energy   -53.0 eV per cell
Calculated volume   205.4 Å³ per cell

Cell: 2.8107 3.7193 19.6525 Å, 90.00 90.00 90.00°
Last column: nearest neighbours and their distance in Å.
Space group Immm (No. 71)
Inequivalent atoms, fractional coordinates:
Cu (0.0000, 0.0000, 0.0731)  8 Au 2.74, 4 Cu 2.81-2.87
Cu (0.0000, 0.0000, 0.2178)  7 Cu 2.65-2.84, 5 Au 2.66-2.72
Au (0.0000, 0.0000, 0.3532)  9 Cu 2.66-2.74, 3 Au 2.81-2.88
Au (0.0000, 0.0000, 0.5000)  8 Cu 2.74, 4 Au 2.81-2.88